Entry 1:
! Zn2TcNi PBE optimized geometry; values from VASP
&SYSTEM
  ibrav = 0, nat = 4, ntyp = 3
/
ATOMIC_SPECIES
Zn 65.41 Zn.upf
Tc 98.00 Tc.upf
Ni 58.69 Ni.upf
CELL_PARAMETERS angstrom
-1.8857 1.8857 3.7708
1.8857 -1.8857 3.7708
1.8857 1.8857 -3.7708
ATOMIC_POSITIONS crystal
Zn 0.2500 0.7500 0.5000
Zn 0.7500 0.2500 0.5000
Tc 0.0000 0.0000 0.0000
Ni 0.5000 0.5000 0.0000
! **Spin magnetization**: 0.85 μB per formula unit
! **E_form**: 3.1 kcal/mol of atoms
! **SG**: I4/mmm (139)
! **ρ**: 8.9 g/cm³
! **E**: -18.16 eV/cell

Entry 2:
! Na2UBO6 PBE optimized geometry; values from VASP
&SYSTEM
  ibrav = 0, nat = 10, ntyp = 4
/
ATOMIC_SPECIES
Na 22.99 Na.upf
U 238.03 U.upf
B 10.81 B.upf
O 16.00 O.upf
CELL_PARAMETERS angstrom
5.4847 -2.6219 0.0000
5.4847 2.6219 0.0000
-2.0907 0.0000 4.5098
ATOMIC_POSITIONS crystal
Na 0.2461 0.2461 0.2962
Na 0.7539 0.7539 0.7038
U 0.5000 0.5000 0.0000
B 0.0000 0.0000 0.5000
O 0.1570 0.7476 0.6538
O 0.2524 0.8430 0.3462
O 0.3137 0.3137 0.9113
O 0.6863 0.6863 0.0887
O 0.7476 0.1570 0.6538
O 0.8430 0.2524 0.3462
! **Spin magnetization**: 0.00 μB per formula unit
! **SG**: C2/m (12)
! **E_form (uncorrected)**: -2085 meV/atom
! **ρ**: 5.0 g/cm³
! **E**: -71.20 eV/cell

Entry 3:
! Li12TmAg6 PBE optimized geometry; values from VASP
&SYSTEM
  ibrav = 0, nat = 19, ntyp = 3
/
ATOMIC_SPECIES
Li 6.94 Li.upf
Tm 168.93 Tm.upf
Ag 107.87 Ag.upf
CELL_PARAMETERS angstrom
4.9512 2.8586 4.2554
-4.9512 2.8586 4.2554
0.0000 -5.7172 4.2554
ATOMIC_POSITIONS crystal
Li 0.0185 0.9058 0.3118
Li 0.0942 0.6882 0.9815
Li 0.1012 0.4571 0.3384
Li 0.3118 0.0185 0.9058
Li 0.3384 0.1012 0.4571
Li 0.4571 0.3384 0.1012
Li 0.5429 0.6616 0.8988
Li 0.6616 0.8988 0.5429
Li 0.6882 0.9815 0.0942
Li 0.8988 0.5429 0.6616
Li 0.9058 0.3118 0.0185
Li 0.9815 0.0942 0.6882
Tm 0.5000 0.5000 0.5000
Ag 0.2137 0.7712 0.6242
Ag 0.2288 0.3758 0.7863
Ag 0.3758 0.7863 0.2288
Ag 0.6242 0.2137 0.7712
Ag 0.7712 0.6242 0.2137
Ag 0.7863 0.2288 0.3758
! **Spin magnetization**: 0.00 μB per formula unit
! **E_form**: -2.4 kcal/mol of atoms
! **SG**: R-3 (148)
! **ρ**: 4.1 g/cm³
! **E**: -46.56 eV/cell

Entry 4:
! KZrBe2 PBE optimized geometry; values from VASP
&SYSTEM
  ibrav = 0, nat = 4, ntyp = 3
/
ATOMIC_SPECIES
K 39.10 K.upf
Zr 91.22 Zr.upf
Be 9.01 Be.upf
CELL_PARAMETERS angstrom
4.8209 -1.3462 0.0000
4.8209 1.3462 0.0000
-0.6370 0.0000 7.2046
ATOMIC_POSITIONS crystal
K 0.0000 0.0000 0.0000
Zr 0.5000 0.5000 0.5000
Be 0.2363 0.2363 0.6205
Be 0.7637 0.7637 0.3795
! **Spin magnetization**: 0.00 μB per formula unit
! **E_form**: 16.8 kcal/mol of atoms
! **SG**: C2/m (12)
! **ρ**: 2.6 g/cm³
! **E**: -14.18 eV/cell

Entry 5:
! SrTaTe2 PBE optimized geometry; values from VASP
&SYSTEM
  ibrav = 0, nat = 4, ntyp = 3
/
ATOMIC_SPECIES
Sr 87.62 Sr.upf
Ta 180.95 Ta.upf
Te 127.60 Te.upf
CELL_PARAMETERS angstrom
3.5870 0.0000 0.0000
0.0000 3.5870 0.0000
0.0000 0.0000 7.8713
ATOMIC_POSITIONS crystal
Sr 0.0000 0.0000 0.0000
Ta 0.0000 0.0000 0.5000
Te 0.5000 0.5000 0.2922
Te 0.5000 0.5000 0.7078
! **Spin magnetization**: 0.00 μB per formula unit
! **SG**: P4/mmm (123)
! **E_form (uncorrected)**: -378 meV/atom
! **ρ**: 8.6 g/cm³
! **E**: -21.33 eV/cell

Entry 6:
! Ca2YTcO6 PBE optimized geometry; values from VASP
&SYSTEM
  ibrav = 0, nat = 20, ntyp = 4
/
ATOMIC_SPECIES
Ca 40.08 Ca.upf
Y 88.91 Y.upf
Tc 98.00 Tc.upf
O 16.00 O.upf
CELL_PARAMETERS angstrom
5.6032 0.0000 0.0000
0.0000 5.8332 0.0000
-5.5381 0.0000 8.0681
ATOMIC_POSITIONS crystal
Ca 0.2354 0.0556 0.2518
Ca 0.2354 0.4444 0.7518
Ca 0.7646 0.5556 0.2482
Ca 0.7646 0.9444 0.7482
Y 0.5000 0.0000 0.0000
Y 0.5000 0.5000 0.5000
Tc 0.0000 0.0000 0.5000
Tc 0.0000 0.5000 0.0000
O 0.1153 0.2165 0.9365
O 0.1153 0.2835 0.4365
O 0.2306 0.6855 0.9447
O 0.2306 0.8145 0.4447
O 0.3428 0.0449 0.7321
O 0.3428 0.4551 0.2321
O 0.6572 0.5449 0.7679
O 0.6572 0.9551 0.2679
O 0.7694 0.1855 0.5553
O 0.7694 0.3145 0.0553
O 0.8847 0.7165 0.5635
O 0.8847 0.7835 0.0635
! **Spin magnetization**: 2.00 μB per formula unit
! **SG**: P2_1/c (14)
! **E_form (uncorrected)**: -2585 meV/atom
! **ρ**: 4.6 g/cm³
! **E**: -152.86 eV/cell

Entry 7:
! K3RbMn2H8 PBE optimized geometry; values from VASP
&SYSTEM
  ibrav = 0, nat = 14, ntyp = 4
/
ATOMIC_SPECIES
K 39.10 K.upf
Rb 85.47 Rb.upf
Mn 54.94 Mn.upf
H 1.01 H.upf
CELL_PARAMETERS angstrom
6.0092 0.0000 0.0000
-3.0046 5.2041 0.0000
0.0000 0.0000 8.8835
ATOMIC_POSITIONS crystal
K 0.0000 0.0000 0.0000
K 0.3333 0.6667 0.7418
K 0.6667 0.3333 0.2582
Rb 0.0000 0.0000 0.5000
Mn 0.3333 0.6667 0.2111
Mn 0.6667 0.3333 0.7889
H 0.1737 0.3473 0.2707
H 0.1737 0.8263 0.2707
H 0.3333 0.6667 0.0181
H 0.3473 0.1737 0.7293
H 0.6527 0.8263 0.2707
H 0.6667 0.3333 0.9819
H 0.8263 0.1737 0.7293
H 0.8263 0.6527 0.7293
! **Spin magnetization**: 10.00 μB per formula unit
! **SG**: P-3m1 (164)
! **ρ**: 1.9 g/cm³
! **E**: -49.82 eV/cell

Entry 8:
! CdAgN PBE optimized geometry; values from VASP
&SYSTEM
  ibrav = 0, nat = 6, ntyp = 3
/
ATOMIC_SPECIES
Cd 112.41 Cd.upf
Ag 107.87 Ag.upf
N 14.01 N.upf
CELL_PARAMETERS angstrom
4.3495 0.0000 0.0000
0.0000 4.7632 0.0000
-0.0018 0.0000 4.7683
ATOMIC_POSITIONS crystal
Cd 0.0004 0.2500 0.2503
Cd 0.9996 0.7500 0.7497
Ag 0.4784 0.2500 0.7520
Ag 0.5216 0.7500 0.2480
N 0.0257 0.7500 0.2503
N 0.9743 0.2500 0.7497
! **Spin magnetization**: 0.00 μB per formula unit
! **SG**: P2_1/m (11)
! **E_form (uncorrected)**: 653 meV/atom
! **ρ**: 7.9 g/cm³
! **E**: -20.26 eV/cell

Entry 9:
! Pr4PtPb PBE optimized geometry; values from VASP
&SYSTEM
  ibrav = 0, nat = 12, ntyp = 3
/
ATOMIC_SPECIES
Pr 140.91 Pr.upf
Pt 195.08 Pt.upf
Pb 207.20 Pb.upf
CELL_PARAMETERS angstrom
4.5453 -7.2448 0.0000
4.5453 7.2448 0.0000
-2.2846 0.0000 5.5991
ATOMIC_POSITIONS crystal
Pr 0.0730 0.7005 0.9290
Pr 0.2056 0.3577 0.6493
Pr 0.2995 0.9270 0.5710
Pr 0.3577 0.2056 0.1493
Pr 0.6423 0.7944 0.8507
Pr 0.7005 0.0730 0.4290
Pr 0.7944 0.6423 0.3507
Pr 0.9270 0.2995 0.0710
Pt 0.0020 0.9980 0.2500
Pt 0.9980 0.0020 0.7500
Pb 0.3803 0.6197 0.2500
Pb 0.6197 0.3803 0.7500
! **Spin magnetization**: 0.00 μB per formula unit
! **E_form**: -12.4 kcal/mol of atoms
! **SG**: C2/c (15)
! **ρ**: 8.7 g/cm³
! **E**: -64.17 eV/cell

Entry 10:
! Mn2ReRu PBE optimized geometry; values from VASP
&SYSTEM
  ibrav = 0, nat = 4, ntyp = 3
/
ATOMIC_SPECIES
Mn 54.94 Mn.upf
Re 186.21 Re.upf
Ru 101.07 Ru.upf
CELL_PARAMETERS angstrom
4.2379 0.0000 0.0000
0.0000 4.2379 0.0000
0.0000 0.0000 2.9991
ATOMIC_POSITIONS crystal
Mn 0.0000 0.5000 0.0000
Mn 0.5000 0.0000 0.0000
Re 0.0000 0.0000 0.5000
Ru 0.5000 0.5000 0.5000
! **Spin magnetization**: 5.06 μB per formula unit
! **E_form**: 1.6 kcal/mol of atoms
! **SG**: P4/mmm (123)
! **ρ**: 12.2 g/cm³
! **E**: -39.79 eV/cell

Entry 11:
! Mg2GaSnBr PBE optimized geometry; values from VASP
&SYSTEM
  ibrav = 0, nat = 5, ntyp = 4
/
ATOMIC_SPECIES
Mg 24.30 Mg.upf
Ga 69.72 Ga.upf
Sn 118.71 Sn.upf
Br 79.90 Br.upf
CELL_PARAMETERS angstrom
5.1056 0.0000 0.0000
0.0000 5.1056 0.0000
0.0000 0.0000 5.6359
ATOMIC_POSITIONS crystal
Mg 0.0000 0.5000 0.0000
Mg 0.5000 0.0000 0.0000
Ga 0.0000 0.0000 0.0000
Sn 0.5000 0.5000 0.5000
Br 0.0000 0.0000 0.5000
! **Spin magnetization**: 0.00 μB per formula unit
! **SG**: P4/mmm (123)
! **E_form (uncorrected)**: 185 meV/atom
! **ρ**: 3.6 g/cm³
! **E**: -10.97 eV/cell

Entry 12:
! KScTe2 PBE optimized geometry; values from VASP
&SYSTEM
  ibrav = 0, nat = 4, ntyp = 3
/
ATOMIC_SPECIES
K 39.10 K.upf
Sc 44.96 Sc.upf
Te 127.60 Te.upf
CELL_PARAMETERS angstrom
2.1474 1.2398 8.2763
-2.1474 1.2398 8.2763
0.0000 -2.4796 8.2763
ATOMIC_POSITIONS crystal
K 0.0000 0.0000 0.0000
Sc 0.8318 0.8318 0.8318
Te 0.2311 0.2311 0.2311
Te 0.4331 0.4331 0.4331
! **Spin magnetization**: 0.00 μB per formula unit
! **SG**: R3m (160)
! **E_form (uncorrected)**: -1246 meV/atom
! **ρ**: 4.3 g/cm³
! **E**: -18.70 eV/cell

Entry 13:
! ThCd2Au PBE optimized geometry; values from VASP
&SYSTEM
  ibrav = 0, nat = 4, ntyp = 3
/
ATOMIC_SPECIES
Th 232.04 Th.upf
Cd 112.41 Cd.upf
Au 196.97 Au.upf
CELL_PARAMETERS angstrom
4.3702 0.0000 0.0000
0.0000 4.3702 0.0000
0.0000 0.0000 5.1914
ATOMIC_POSITIONS crystal
Th 0.0000 0.0000 0.0000
Cd 0.0000 0.5000 0.5000
Cd 0.5000 0.0000 0.5000
Au 0.5000 0.5000 0.0000
! **Spin magnetization**: 0.00 μB per formula unit
! **E_form**: -5.8 kcal/mol of atoms
! **SG**: P4/mmm (123)
! **ρ**: 11.0 g/cm³
! **E**: -13.53 eV/cell

Entry 14:
! La2YIr PBE optimized geometry; values from VASP
&SYSTEM
  ibrav = 0, nat = 4, ntyp = 3
/
ATOMIC_SPECIES
La 138.91 La.upf
Y 88.91 Y.upf
Ir 192.22 Ir.upf
CELL_PARAMETERS angstrom
0.0000 3.7549 3.7549
3.7549 0.0000 3.7549
3.7549 3.7549 0.0000
ATOMIC_POSITIONS crystal
La 0.2500 0.2500 0.2500
La 0.7500 0.7500 0.7500
Y 0.0000 0.0000 0.0000
Ir 0.5000 0.5000 0.5000
! **Spin magnetization**: 0.00 μB per formula unit
! **E_form**: -0.4 kcal/mol of atoms
! **SG**: Fm-3m (225)
! **ρ**: 8.8 g/cm³
! **E**: -25.25 eV/cell

Entry 15:
! CeLuRhPb PBE optimized geometry; values from VASP
&SYSTEM
  ibrav = 0, nat = 4, ntyp = 4
/
ATOMIC_SPECIES
Ce 140.12 Ce.upf
Lu 174.97 Lu.upf
Rh 102.91 Rh.upf
Pb 207.20 Pb.upf
CELL_PARAMETERS angstrom
0.0000 3.6546 3.6546
3.6546 0.0000 3.6546
3.6546 3.6546 0.0000
ATOMIC_POSITIONS crystal
Ce 0.0000 0.0000 0.0000
Lu 0.5000 0.5000 0.5000
Rh 0.7500 0.7500 0.7500
Pb 0.2500 0.2500 0.2500
! **Spin magnetization**: 0.44 μB per formula unit
! **E_form**: -9.7 kcal/mol of atoms
! **SG**: F-43m (216)
! **ρ**: 10.6 g/cm³
! **E**: -23.20 eV/cell

Entry 16:
! TlIn2S PBE optimized geometry; values from VASP
&SYSTEM
  ibrav = 0, nat = 8, ntyp = 3
/
ATOMIC_SPECIES
Tl 204.38 Tl.upf
In 114.82 In.upf
S 32.06 S.upf
CELL_PARAMETERS angstrom
-3.3776 3.3776 6.0458
3.3776 -3.3776 6.0458
3.3776 3.3776 -6.0458
ATOMIC_POSITIONS crystal
Tl 0.0000 0.0000 0.0000
Tl 0.7500 0.2500 0.5000
In 0.1585 0.6250 0.0335
In 0.3750 0.4085 0.5335
In 0.5915 0.1250 0.9665
In 0.8750 0.8415 0.4665
S 0.2500 0.7500 0.5000
S 0.5000 0.5000 0.0000
! **Spin magnetization**: 0.00 μB per formula unit
! **SG**: I-42d (122)
! **E_form (uncorrected)**: -58 meV/atom
! **ρ**: 5.6 g/cm³
! **E**: -24.41 eV/cell

Entry 17:
! SbPd2N PBE optimized geometry; values from VASP
&SYSTEM
  ibrav = 0, nat = 4, ntyp = 3
/
ATOMIC_SPECIES
Sb 121.76 Sb.upf
Pd 106.42 Pd.upf
N 14.01 N.upf
CELL_PARAMETERS angstrom
0.0000 3.1007 3.1007
3.1007 0.0000 3.1007
3.1007 3.1007 0.0000
ATOMIC_POSITIONS crystal
Sb 0.0000 0.0000 0.0000
Pd 0.2500 0.2500 0.2500
Pd 0.7500 0.7500 0.7500
N 0.5000 0.5000 0.5000
! **Spin magnetization**: 0.00 μB per formula unit
! **SG**: Fm-3m (225)
! **E_form (uncorrected)**: 622 meV/atom
! **ρ**: 9.7 g/cm³
! **E**: -20.34 eV/cell

Entry 18:
! LaAlPd PBE optimized geometry; values from VASP
&SYSTEM
  ibrav = 0, nat = 6, ntyp = 3
/
ATOMIC_SPECIES
La 138.91 La.upf
Al 26.98 Al.upf
Pd 106.42 Pd.upf
CELL_PARAMETERS angstrom
4.3710 0.0000 0.0000
0.0000 4.3713 0.0000
-0.0080 0.0000 7.0298
ATOMIC_POSITIONS crystal
La 0.2499 0.2500 0.1460
La 0.7501 0.7500 0.8540
Al 0.2497 0.7500 0.5000
Al 0.7503 0.2500 0.5000
Pd 0.2506 0.2500 0.6971
Pd 0.7494 0.7500 0.3029
! **Spin magnetization**: 0.00 μB per formula unit
! **E_form**: -17.3 kcal/mol of atoms
! **SG**: P2_1/m (11)
! **ρ**: 6.7 g/cm³
! **E**: -32.22 eV/cell

Entry 19:
! Cs2In4Hg5 PBE optimized geometry; values from VASP
&SYSTEM
  ibrav = 0, nat = 11, ntyp = 3
/
ATOMIC_SPECIES
Cs 132.91 Cs.upf
In 114.82 In.upf
Hg 200.59 Hg.upf
CELL_PARAMETERS angstrom
0.0000 5.7481 9.0572
3.6566 0.0000 9.0572
3.6566 5.7481 0.0000
ATOMIC_POSITIONS crystal
Cs 0.1338 0.1338 0.8662
Cs 0.8662 0.8662 0.1338
In 0.2166 0.5208 0.4792
In 0.4792 0.7834 0.2166
In 0.5208 0.2166 0.7834
In 0.7834 0.4792 0.5208
Hg 0.0000 0.0000 0.5000
Hg 0.2500 0.2500 0.2500
Hg 0.5000 0.5000 0.0000
Hg 0.5000 0.5000 0.5000
Hg 0.7500 0.7500 0.7500
! **Spin magnetization**: 0.00 μB per formula unit
! **E_form**: -2.6 kcal/mol of atoms
! **SG**: Fmmm (69)
! **ρ**: 7.5 g/cm³
! **E**: -15.40 eV/cell

Entry 20:
! Tb12CdCo6 PBE optimized geometry; values from VASP
&SYSTEM
  ibrav = 0, nat = 19, ntyp = 3
/
ATOMIC_SPECIES
Tb 158.93 Tb.upf
Cd 112.41 Cd.upf
Co 58.93 Co.upf
CELL_PARAMETERS angstrom
-4.8488 4.8488 4.8488
4.8488 -4.8488 4.8488
4.8488 4.8488 -4.8488
ATOMIC_POSITIONS crystal
Tb 0.1096 0.3038 0.8058
Tb 0.1942 0.4980 0.3038
Tb 0.1942 0.8904 0.6962
Tb 0.3038 0.1942 0.4980
Tb 0.3038 0.8058 0.1096
Tb 0.4980 0.3038 0.1942
Tb 0.5020 0.6962 0.8058
Tb 0.6962 0.1942 0.8904
Tb 0.6962 0.8058 0.5020
Tb 0.8058 0.1096 0.3038
Tb 0.8058 0.5020 0.6962
Tb 0.8904 0.6962 0.1942
Cd 0.0000 0.0000 0.0000
Co 0.1129 0.5000 0.6129
Co 0.3871 0.8871 0.5000
Co 0.5000 0.3871 0.8871
Co 0.5000 0.6129 0.1129
Co 0.6129 0.1129 0.5000
Co 0.8871 0.5000 0.3871
! **Spin magnetization**: 0.00 μB per formula unit
! **E_form**: -4.7 kcal/mol of atoms
! **SG**: Im-3 (204)
! **ρ**: 8.6 g/cm³
! **E**: -103.02 eV/cell